# Nd3HoCd4 | Alexandria | PBE | relaxed
# ΔE_f	-0.314	eV per atom
# N(E_F)	1.15	states/eV per atom
data_Nd3HoCd4
_chemical_formula_sum 'Nd3 Ho1 Cd4'
_space_group_name_H-M_alt 'P 4/m m m'
_space_group_IT_number 123
_space_group_name_Hall '-P 4 2'
_cell_length_a 3.8043
_cell_length_b 3.8043
_cell_length_c 15.4672
_cell_angle_alpha 90.00
_cell_angle_beta 90.00
_cell_angle_gamma 90.00
loop_
_atom_site_label
_atom_site_fract_x
_atom_site_fract_y
_atom_site_fract_z
Nd1 0.0000 0.0000 0.0000
Nd2 0.0000 0.0000 0.2550
Ho1 0.0000 0.0000 0.5000
Cd1 0.5000 0.5000 0.1266
Cd2 0.5000 0.5000 0.3854